1.
8
Lattice="3.2141 0.0000 0.0000 0.0000 4.5714 0.0000 0.0000 0.0000 9.1368" Properties=species:S:1:pos:R:3 comment="PBE Hf4CoRu3, relaxed" crystal_system=orthorhombic space_group="Pmmm, No. 47" ef_ev_per_fu=-5.55 pbc="T T T"
Co 1.6070 2.2857 0.0000
Hf 0.0000 2.2857 6.8913
Hf 0.0000 0.0000 0.0000
Hf 0.0000 2.2857 2.2455
Hf 0.0000 0.0000 4.5684
Ru 1.6070 0.0000 6.8659
Ru 1.6070 2.2857 4.5684
Ru 1.6070 0.0000 2.2709

2.
5
Lattice="-0.6328 -4.0023 -1.7452 1.6160 -1.8529 3.6633 -4.0562 -0.1138 1.7318" Properties=species:S:1:pos:R:3 comment="PBE HfCoRu3, relaxed" crystal_system=cubic polymorph_energy_mev_per_atom=0 space_group="Pm-3m, No. 221" ef_ev_per_fu=3.95 pbc="T T T"
Ru -2.0281 -0.0569 0.8659
Ru 0.8080 -0.9265 1.8317
Ru -0.3164 -2.0011 -0.8726
Co 0.0000 0.0000 0.0000
Hf -1.5365 -2.9845 1.8249

3.
4
Lattice="0.0000 3.2084 3.2084 3.2084 0.0000 3.2084 3.2084 3.2084 0.0000" Properties=species:S:1:pos:R:3 comment="PBE Hf2CoRu, relaxed" crystal_system=cubic polymorph_energy_mev_per_atom=11 space_group="Fm-3m, No. 225" ef_ev_per_fu=-2.30 pbc="T T T"
Co 0.0000 0.0000 0.0000
Ru 3.2084 3.2084 3.2084
Hf 4.8126 4.8126 4.8126
Hf 1.6042 1.6042 1.6042

4.
4
Lattice="-1.0912 2.8103 -1.0938 0.3641 -1.0319 -3.0145 -5.9522 -2.2865 0.0637" Properties=species:S:1:pos:R:3 comment="PBE Hf2CoRu, relaxed" crystal_system=tetragonal polymorph_energy_mev_per_atom=0 space_group="P4/mmm, No. 123" ef_ev_per_fu=-2.34 pbc="T T T"
Hf -4.5035 -1.7300 0.0482
Hf -1.4487 -0.5565 0.0155
Ru -3.3396 -0.2540 -2.0223
Co -0.3636 0.8892 -2.0541

5.
8
Lattice="6.8948 0.0000 0.0000 0.0000 6.8948 0.0000 3.4474 3.4474 2.9358" Properties=species:S:1:pos:R:3 comment="PBE Hf2CoRu, relaxed" crystal_system=tetragonal polymorph_energy_mev_per_atom=601 space_group="I-42d, No. 122" ef_ev_per_fu=0.06 pbc="T T T"
Ru 0.0000 0.0000 0.0000
Ru 6.8948 3.4474 1.4679
Hf 5.0859 1.7237 0.7339
Hf 1.8090 5.1711 0.7339
Hf 5.1711 5.2564 2.2018
Hf 8.6186 8.5333 2.2018
Co 3.4474 3.4474 0.0000
Co 3.4474 6.8948 1.4679

6.
4
Lattice="3.2244 0.0541 2.9873 0.9261 3.7105 2.1676 -0.9687 0.3492 4.2736" Properties=species:S:1:pos:R:3 comment="PBE HfCoRu2, relaxed" crystal_system=cubic polymorph_energy_mev_per_atom=83 space_group="Fm-3m, No. 225" ef_ev_per_fu=-0.51 pbc="T T T"
Hf 1.5909 2.0568 4.7142
Ru 0.7954 1.0284 2.3571
Ru 2.3863 3.0853 7.0713
Co 0.0000 0.0000 0.0000

7.
12
Lattice="-1.8566 4.8440 -1.3479 -1.4857 0.4531 3.6746 8.0903 1.3757 3.1013" Properties=species:S:1:pos:R:3 comment="PBE HfCoRu, relaxed" crystal_system=monoclinic polymorph_energy_mev_per_atom=141 space_group="C2/m, No. 12" ef_ev_per_fu=-0.73 pbc="T T T"
Ru 0.0843 2.1981 1.9286
Ru 4.6637 4.4747 3.4994
Ru 4.8723 2.6594 1.6420
Ru 1.3614 3.5603 0.1114
Co 2.3740 3.3364 2.7140
Co -0.9283 2.4220 -0.6740
Co 3.3023 0.9144 3.3880
Co 0.0000 0.0000 0.0000
Hf 5.9481 2.2670 4.2909
Hf -1.2001 4.4057 1.1371
Hf 2.6458 1.3526 0.9029
Hf 3.5878 4.8670 0.8505

8.
5
Lattice="-1.5111 -0.3676 -4.5818 3.0806 -2.1777 -0.8413 -2.5014 -3.9806 1.1444" Properties=species:S:1:pos:R:3 comment="PBE Hf2CoRuS, relaxed" e_form_raw_mev_per_atom=228 crystal_system=tetragonal space_group="P4/mmm, No. 123" pbc="T T T"
Co 0.0000 0.0000 0.0000
Hf -0.7556 -0.1838 -2.2909
Hf -1.2507 -1.9903 0.5722
S 1.5403 -1.0889 -0.4206
Ru -0.4660 -3.2630 -2.1394

9.
4
Lattice="3.2019 0.0000 0.0000 0.0000 3.2019 0.0000 0.0000 0.0000 6.3008" Properties=species:S:1:pos:R:3 comment="PBE HfScCoRu, relaxed" crystal_system=tetragonal space_group="P4mm, No. 99" ef_ev_per_fu=-2.35 pbc="T T T"
Co 1.6009 1.6009 0.7229
Hf 0.0000 0.0000 2.2123
Ru 1.6009 1.6009 3.7895
Sc 0.0000 0.0000 5.4229

10.
5
Lattice="-0.0136 4.6469 -1.1703 -3.4349 -0.6490 -2.5372 -2.9054 0.9227 3.6973" Properties=species:S:1:pos:R:3 comment="PBE HfCoRuSe2, relaxed" e_form_raw_mev_per_atom=560 crystal_system=tetragonal space_group="P4/mmm, No. 123" pbc="T T T"
Se -0.0068 2.3234 -0.5851
Se -1.4527 0.4613 1.8487
Hf -3.1769 2.4603 -0.0051
Co -1.7175 -0.3245 -1.2686
Ru 0.0000 0.0000 0.0000

11.
4
Lattice="4.6546 0.0000 0.0000 2.3273 4.0310 0.0000 2.3273 1.3437 3.8005" Properties=species:S:1:pos:R:3 comment="PBE TbHfCoRu, relaxed" crystal_system=cubic space_group="F-43m, No. 216" ef_ev_per_fu=-1.44 pbc="T T T"
Tb 2.3273 1.3437 0.9501
Hf 6.9820 4.0310 2.8504
Co 4.6546 2.6874 1.9002
Ru 0.0000 0.0000 0.0000

12.
4
Lattice="-0.6086 -2.2515 2.2820 0.8647 -2.3519 -2.0899 6.1545 0.4286 2.0642" Properties=species:S:1:pos:R:3 comment="PBE TmHfCoRu, relaxed" crystal_system=tetragonal polymorph_energy_mev_per_atom=0 space_group="P4mm, No. 99" ef_ev_per_fu=-2.04 pbc="T T T"
Tm 5.2490 0.3655 1.7605
Co 3.7412 -2.0501 1.3079
Hf 2.2291 0.1552 0.7476
Ru 0.9025 -2.2478 0.3558

13.
4
Lattice="-2.6935 2.9071 2.3512 0.1890 0.1044 4.6030 1.8528 3.6314 2.1481" Properties=species:S:1:pos:R:3 comment="PBE TmHfCoRu, relaxed" crystal_system=cubic polymorph_energy_mev_per_atom=52 space_group="F-43m, No. 216" ef_ev_per_fu=-1.84 pbc="T T T"
Ru -0.4888 4.9822 6.8268
Co -0.1629 1.6607 2.2756
Tm -0.3259 3.3215 4.5512
Hf 0.0000 0.0000 0.0000

14.
5
Lattice="-1.2894 -1.4299 4.1615 4.3964 -0.2375 1.2807 -0.1839 4.3502 1.4378" Properties=species:S:1:pos:R:3 comment="PBE HfCo3S, relaxed" e_form_raw_mev_per_atom=1584 crystal_system=cubic polymorph_energy_mev_per_atom=1635 space_group="Pm-3m, No. 221" pbc="T T T"
Co -0.6447 -0.7150 2.0807
Co -0.0919 2.1751 0.7189
Co 2.1982 -0.1187 0.6403
S 1.4616 1.3414 3.4399
Hf 0.0000 0.0000 0.0000

15.
8
Lattice="6.7099 0.0000 0.0000 0.0000 6.7099 0.0000 3.3549 3.3549 3.1818" Properties=species:S:1:pos:R:3 comment="PBE Hf2CoS, relaxed" e_form_raw_mev_per_atom=-341 crystal_system=tetragonal space_group="I-42d, No. 122" pbc="T T T"
Co 6.7099 3.3549 1.5909
Co 0.0000 0.0000 0.0000
S 3.3549 6.7099 1.5909
S 3.3549 3.3549 0.0000
Hf 5.0566 1.6775 0.7955
Hf 5.0324 5.0082 2.3864
Hf 8.3874 8.4116 2.3864
Hf 1.6533 5.0324 0.7955

16.
4
Lattice="-2.7061 -1.0991 1.1497 -0.9350 -2.9133 -0.7010 2.9312 -4.3274 7.0471" Properties=species:S:1:pos:R:3 comment="PBE Hf2CoS, relaxed" e_form_raw_mev_per_atom=-47 crystal_system=trigonal space_group="R-3m, No. 166" pbc="T T T"
Hf -2.4837 -4.8473 2.3749
Hf 1.7738 -3.4925 5.1210
Co 0.0000 0.0000 0.0000
S -0.3550 -4.1699 3.7479

17.
5
Lattice="4.6708 0.0000 0.0000 0.0000 4.6708 0.0000 0.0000 0.0000 4.6708" Properties=species:S:1:pos:R:3 comment="PBE Hf3CoS, relaxed" e_form_raw_mev_per_atom=4 crystal_system=cubic polymorph_energy_mev_per_atom=0 space_group="Pm-3m, No. 221" pbc="T T T"
Co 2.3354 2.3354 2.3354
S 0.0000 0.0000 0.0000
Hf 0.0000 2.3354 0.0000
Hf 2.3354 0.0000 0.0000
Hf 0.0000 0.0000 2.3354

18.
5
Lattice="4.9026 0.0000 0.0000 0.0000 4.9026 0.0000 0.0000 0.0000 4.9026" Properties=species:S:1:pos:R:3 comment="PBE HfCoS3, relaxed" e_form_raw_mev_per_atom=0 crystal_system=cubic polymorph_energy_mev_per_atom=940 space_group="Pm-3m, No. 221" pbc="T T T"
S 0.0000 0.0000 2.4513
S 2.4513 0.0000 0.0000
S 0.0000 2.4513 0.0000
Hf 0.0000 0.0000 0.0000
Co 2.4513 2.4513 2.4513

19.
10
Lattice="3.5790 0.0000 0.0000 0.0000 5.9114 0.0000 -1.7895 0.0000 10.1987" Properties=species:S:1:pos:R:3 comment="PBE HfCoS3, relaxed" e_form_raw_mev_per_atom=-940 crystal_system=orthorhombic polymorph_energy_mev_per_atom=0 space_group="Cmc2_1, No. 36" pbc="T T T"
S 1.7895 4.5216 5.5939
S 0.0000 4.6436 2.4460
S 0.0000 1.5660 4.6048
S 0.0000 4.7011 8.7834
S 1.7895 1.6879 7.7527
S 1.7895 1.7454 1.4153
Co 1.7895 5.3857 7.7001
Co 0.0000 2.4300 2.4986
Hf 0.0000 3.1763 6.8190
Hf 1.7895 0.2206 3.3797

20.
4
Lattice="3.1498 0.7214 2.9347 -0.7588 -0.7202 4.2378 1.9138 -3.3637 2.0191" Properties=species:S:1:pos:R:3 comment="PBE HfCoS2, relaxed" e_form_raw_mev_per_atom=-564 crystal_system=cubic polymorph_energy_mev_per_atom=174 space_group="Fm-3m, No. 225" pbc="T T T"
S 3.2286 -2.5218 6.8937
S 1.0762 -0.8406 2.2979
Hf 2.1524 -1.6812 4.5958
Co 0.0000 0.0000 0.0000

21.
8
Lattice="5.3178 0.0000 0.0000 0.0000 5.3178 0.0000 2.6589 2.6589 5.4522" Properties=species:S:1:pos:R:3 comment="PBE HfCoS2, relaxed" e_form_raw_mev_per_atom=-738 crystal_system=tetragonal polymorph_energy_mev_per_atom=0 space_group="I-42d, No. 122" pbc="T T T"
S 3.9884 4.1869 4.0892
S 3.7898 1.3295 1.3631
S 1.5280 3.9884 1.3631
S 6.6473 6.4487 4.0892
Hf 5.3178 2.6589 2.7261
Hf 0.0000 0.0000 0.0000
Co 2.6589 2.6589 0.0000
Co 2.6589 5.3178 2.7261

22.
5
Lattice="-2.6014 1.7088 -3.0449 -3.1305 0.5403 2.9778 1.5465 3.9683 0.9058" Properties=species:S:1:pos:R:3 comment="PBE HfCoS3, relaxed" e_form_raw_mev_per_atom=-128 crystal_system=cubic polymorph_energy_mev_per_atom=812 space_group="Pm-3m, No. 221" pbc="T T T"
S -1.3007 0.8544 -1.5225
S -1.5653 0.2701 1.4889
S 0.7732 1.9841 0.4529
Co 0.0000 0.0000 0.0000
Hf -2.0927 3.1087 0.4193

23.
4
Lattice="2.0257 0.0000 7.3715 -1.0128 1.7543 7.3715 -1.0128 -1.7543 7.3715" Properties=species:S:1:pos:R:3 comment="PBE HfCoS2, relaxed" e_form_raw_mev_per_atom=-675 crystal_system=trigonal polymorph_energy_mev_per_atom=62 space_group="R-3m, No. 166" pbc="T T T"
Hf 0.0000 0.0000 11.0572
S 0.0000 0.0000 2.1472
S 0.0000 0.0000 19.9673
Co 0.0000 0.0000 0.0000

24.
5
Lattice="-1.7353 -2.4497 2.8092 -0.7810 -2.7910 -2.9163 3.6446 -1.7645 0.7126" Properties=species:S:1:pos:R:3 comment="PBE HfCo3S, relaxed" e_form_raw_mev_per_atom=-52 crystal_system=cubic polymorph_energy_mev_per_atom=0 space_group="Pm-3m, No. 221" pbc="T T T"
Hf 0.5641 -3.5026 0.3028
Co -0.3905 -1.3955 -1.4581
Co 1.8223 -0.8823 0.3563
Co -0.8677 -1.2249 1.4046
S 0.0000 0.0000 0.0000

25.
7
Lattice="4.2383 0.0000 0.0000 0.0000 4.2383 0.0000 2.1191 2.1191 6.7765" Properties=species:S:1:pos:R:3 comment="PBE Hf2CoS4, relaxed" e_form_raw_mev_per_atom=-627 crystal_system=tetragonal space_group="I4/mmm, No. 139" pbc="T T T"
S 4.2383 4.2383 2.5684
S 0.0000 2.1191 0.0000
S 2.1191 0.0000 0.0000
S 2.1191 2.1191 4.2082
Hf 2.1191 2.1191 1.6351
Hf 4.2383 4.2383 5.1414
Co 0.0000 0.0000 0.0000

26.
6
Lattice="-0.4321 0.0821 -3.7423 -3.4311 -0.3844 -1.5092 -2.5346 9.6247 -1.3932" Properties=species:S:1:pos:R:3 comment="PBE HfCoS, relaxed" e_form_raw_mev_per_atom=-825 crystal_system=trigonal space_group="R-3m, No. 166" pbc="T T T"
S -4.8832 7.6529 -4.9593
S -1.5147 1.6694 -1.6855
Hf -2.9748 2.9130 -3.3866
Hf -3.4231 6.4093 -3.2581
Co -4.4841 4.5404 -5.0736
Co -1.9137 4.7819 -1.5711

27.
5
Lattice="-3.4304 3.1078 -1.8427 -2.5407 -3.0462 -0.4078 -1.7255 0.8233 4.6008" Properties=species:S:1:pos:R:3 comment="PBE Hf2CoTeS, relaxed" e_form_raw_mev_per_atom=-271 crystal_system=tetragonal space_group="P4/mmm, No. 123" pbc="T T T"
Hf -0.8627 0.4116 2.3004
Hf -1.7152 1.5539 -0.9213
Te -3.8483 0.4425 1.1751
S -1.2703 -1.5231 -0.2039
Co 0.0000 0.0000 0.0000

28.
12
Lattice="3.6310 0.0000 0.0000 0.0000 8.6768 0.2600 0.0000 -3.8962 8.3297" Properties=species:S:1:pos:R:3 comment="PBE HfTlCoS3, relaxed" e_form_raw_mev_per_atom=-965 crystal_system=monoclinic space_group="P2_1/m, No. 11" pbc="T T T"
S 0.9077 5.1608 4.0714
S 2.7232 3.4862 1.3478
S 0.9077 -2.3081 7.2054
S 2.7232 -0.3802 4.5183
S 2.7232 7.0887 1.3843
S 0.9077 1.2944 7.2419
Tl 2.7232 3.8475 6.5008
Tl 0.9077 0.9332 2.0889
Co 2.7232 6.3755 3.5742
Co 0.9077 -1.5949 5.0155
Hf 2.7232 -0.5448 7.0543
Hf 0.9077 5.3254 1.5354